First-principles (PBE) data for an optimized crystal structure of ZnAg6Sn, as listed in Alexandria.

a = 7.2255 Å, b = 7.8060 Å, c = 5.3492 Å
α = 43.89°, β = 46.65°, γ = 57.88°
Closest atoms and distances in Å follow each position.
Positions (direct):
Zn: 0.5000 0.5000 0.5000  6 Ag 2.76-2.78
Ag: 0.9448 0.4611 0.8445  6 Ag 2.75-2.97, 1 Zn 2.78, 1 Sn 2.90
Ag: 0.7478 0.9303 0.7785  6 Ag 2.75-3.04, 1 Zn 2.76, 1 Sn 2.89
Ag: 0.4653 0.2527 0.3418  1 Zn 2.77, 6 Ag 2.78-3.04, 2 Sn 2.90-3.09
Ag: 0.2522 0.0697 0.2215  6 Ag 2.75-3.04, 1 Zn 2.76, 1 Sn 2.89
Ag: 0.0552 0.5389 0.1555  6 Ag 2.75-2.97, 1 Zn 2.78, 1 Sn 2.90
Ag: 0.5347 0.7473 0.6582  1 Zn 2.77, 6 Ag 2.78-3.04, 2 Sn 2.90-3.09
Sn: 0.0000 0.0000 0.0000  12 Ag 2.89-3.19

## Properties
Total energy ... -2.75 eV/atom
DOS at the Fermi energy ... 2.1 states/eV/cell
E above lowest polymorph ... 37 meV per atom
Calculated formation energy ... 0.0452 eV per atom

***

First-principles (PBE) data for an optimized crystal structure of Zn2Ag8Sn, as listed in Alexandria.

a = 4.8701 Å, b = 7.6385 Å, c = 7.1760 Å
α = 57.84°, β = 77.29°, γ = 65.59°
Closest atoms and distances in Å follow each position.
Positions (direct):
Zn: 0.0000 0.3104 0.3792  8 Ag 2.62-2.73
Zn: 0.0000 0.6896 0.6208  8 Ag 2.62-2.73
Ag: 0.8872 0.0866 0.2394  2 Zn 2.66-2.73, 4 Ag 2.88-2.94
Ag: 0.8872 0.3260 0.7606  2 Zn 2.66-2.73, 4 Ag 2.88-2.94
Ag: 0.3159 0.4023 0.0000  2 Zn 2.70, 4 Ag 2.77-2.94, 1 Sn 2.82
Ag: 0.5000 0.7694 0.4611  2 Zn 2.62, 1 Sn 2.80, 2 Ag 2.90
Ag: 0.5000 0.2306 0.5389  2 Zn 2.62, 1 Sn 2.80, 2 Ag 2.90
Ag: 0.6841 0.5977 0.0000  2 Zn 2.70, 4 Ag 2.77-2.94, 1 Sn 2.82
Ag: 0.1128 0.6740 0.2394  2 Zn 2.66-2.73, 4 Ag 2.88-2.94
Ag: 0.1128 0.9134 0.7606  2 Zn 2.66-2.73, 4 Ag 2.88-2.94
Sn: 0.5000 0.0000 0.0000  8 Ag 2.80-3.10

## Properties
Total energy ... -2.61 eV/atom
DOS at the Fermi energy ... 4.0 states/eV/cell
E above lowest polymorph ... 16 meV per atom
Calculated formation energy ... 0.0578 eV per atom

***

First-principles (PBE) data for an optimized crystal structure of Zn2Ag2Sn, as listed in Alexandria.

a = 7.9237 Å, b = 7.9237 Å, c = 2.9928 Å
α = 90.00°, β = 90.00°, γ = 90.00°
Closest atoms and distances in Å follow each position.
Positions (direct):
Zn: 0.1689 0.6689 0.5000  6 Ag 2.72-2.81, 2 Zn 2.99
Zn: 0.6689 0.8311 0.5000  6 Ag 2.72-2.81, 2 Zn 2.99
Zn: 0.8311 0.3311 0.5000  6 Ag 2.72-2.81, 2 Zn 2.99
Zn: 0.3311 0.1689 0.5000  6 Ag 2.72-2.81, 2 Zn 2.99
Sn: 0.0000 0.0000 0.0000  2 Sn 2.99, 4 Ag 3.11, 8 Zn 3.30
Sn: 0.5000 0.5000 0.0000  2 Sn 2.99, 4 Ag 3.11, 8 Zn 3.30
Ag: 0.3712 0.8712 0.0000  6 Zn 2.72-2.81, 3 Ag 2.89-2.99
Ag: 0.8712 0.6288 0.0000  6 Zn 2.72-2.81, 3 Ag 2.89-2.99
Ag: 0.6288 0.1288 0.0000  6 Zn 2.72-2.81, 3 Ag 2.89-2.99
Ag: 0.1288 0.3712 0.0000  6 Zn 2.72-2.81, 3 Ag 2.89-2.99

## Properties
Total energy ... -2.41 eV/atom
DOS at the Fermi energy ... 2.5 states/eV/cell
E above lowest polymorph ... 0 meV per atom
Calculated formation energy ... 0.0434 eV per atom

***

First-principles (PBE) data for an optimized crystal structure of ZnAg2Sn, as listed in Alexandria.

a = 3.1113 Å, b = 3.1113 Å, c = 9.8882 Å
α = 72.40°, β = 72.40°, γ = 60.29°
Closest atoms and distances in Å follow each position.
Positions (direct):
Zn: 0.6250 0.6250 0.0000  6 Ag 2.74-2.77
Ag: 0.1083 0.1083 0.7752  3 Zn 2.74-2.77
Ag: 0.1417 0.1417 0.2248  3 Zn 2.74-2.77
Sn: 0.6249 0.6249 0.5000  6 Ag 3.11-3.14, 6 Sn 3.11-3.12

## Properties
Total energy ... -2.69 eV/atom
DOS at the Fermi energy ... 0.9 states/eV/cell
E above lowest polymorph ... 11 meV per atom
Calculated formation energy ... 0.0575 eV per atom

***

First-principles (PBE) data for an optimized crystal structure of Zn2Ag8Sn, as listed in Alexandria.

a = 4.6465 Å, b = 5.7689 Å, c = 12.4370 Å
α = 75.16°, β = 137.99°, γ = 89.62°
Closest atoms and distances in Å follow each position.
Positions (direct):
Zn: 0.5583 0.7417 0.5302  7 Ag 2.68-2.83, 1 Zn 2.82
Zn: 0.4417 0.2583 0.4698  7 Ag 2.68-2.83, 1 Zn 2.82
Ag: 0.9068 0.7471 0.2025  2 Zn 2.72-2.83, 7 Ag 2.80-3.03, 2 Sn 2.90-2.91
Ag: 0.2033 0.7342 0.8544  1 Zn 2.68, 6 Ag 2.84-2.99
Ag: 0.2885 0.0732 0.6439  2 Zn 2.72-2.73, 1 Sn 2.83, 6 Ag 2.83-3.04
Ag: 0.7115 0.9268 0.3561  2 Zn 2.72-2.73, 1 Sn 2.83, 6 Ag 2.83-3.04
Ag: 0.7967 0.2658 0.1456  1 Zn 2.68, 6 Ag 2.84-2.99
Ag: 0.0932 0.2529 0.7975  2 Zn 2.72-2.83, 7 Ag 2.80-3.03, 2 Sn 2.90-2.91
Ag: 0.5682 0.4515 0.2820  2 Zn 2.77-2.79, 7 Ag 2.80-3.04
Ag: 0.4318 0.5485 0.7180  2 Zn 2.77-2.79, 7 Ag 2.80-3.04
Sn: 0.0000 0.0000 0.0000  8 Ag 2.83-3.12

## Properties
Total energy ... -2.63 eV/atom
DOS at the Fermi energy ... 2.5 states/eV/cell
E above lowest polymorph ... 0 meV per atom
Calculated formation energy ... 0.0417 eV per atom

***

First-principles (PBE) data for an optimized crystal structure of Zn6Ag6Sn, as listed in Alexandria.

a = 5.1588 Å, b = 7.0874 Å, c = 7.0874 Å
α = 85.73°, β = 68.66°, γ = 68.66°
Closest atoms and distances in Å follow each position.
Positions (direct):
Zn: 0.0000 0.5000 0.0000  4 Zn 2.58-2.60, 6 Ag 2.79-2.86
Zn: 0.5000 0.5000 0.0000  4 Zn 2.58-2.60, 6 Ag 2.79-2.86
Zn: 0.0000 0.0000 0.5000  4 Zn 2.58-2.60, 6 Ag 2.79-2.86
Zn: 0.5000 0.0000 0.5000  4 Zn 2.58-2.60, 6 Ag 2.79-2.86
Zn: 0.5000 0.7557 0.2443  4 Zn 2.60, 6 Ag 2.79-2.88
Zn: 0.5000 0.2443 0.7557  4 Zn 2.60, 6 Ag 2.79-2.88
Ag: 0.3434 0.6566 0.6566  3 Ag 2.82-2.95, 6 Zn 2.84-2.86, 1 Sn 3.10
Ag: 0.6566 0.3434 0.3434  3 Ag 2.82-2.95, 6 Zn 2.84-2.86, 1 Sn 3.10
Ag: 0.0000 0.3543 0.6457  6 Zn 2.79, 1 Ag 2.81
Ag: 0.0000 0.6457 0.3543  6 Zn 2.79, 1 Ag 2.81
Ag: 0.3163 0.1837 0.1837  6 Zn 2.80-2.88, 2 Ag 2.95, 2 Sn 3.07
Ag: 0.6837 0.8163 0.8163  6 Zn 2.80-2.88, 2 Ag 2.95, 2 Sn 3.07
Sn: 0.0000 0.0000 0.0000  8 Ag 3.07-3.42

## Properties
Total energy ... -2.22 eV/atom
DOS at the Fermi energy ... 5.8 states/eV/cell
Calculated formation energy ... -0.0071 eV per atom

***

First-principles (PBE) data for an optimized crystal structure of ZnAg12Sn3, as listed in Alexandria.

a = 4.2559 Å, b = 4.2559 Å, c = 16.6027 Å
α = 90.00°, β = 90.00°, γ = 90.00°
Closest atoms and distances in Å follow each position.
Positions (direct):
Zn: 0.0000 0.0000 0.0000  12 Ag 2.87-3.01
Ag: 0.5000 0.5000 0.0000  8 Ag 2.87, 4 Zn 3.01
Ag: 0.5000 0.5000 0.2426  8 Ag 3.00-3.01, 4 Sn 3.01
Ag: 0.5000 0.5000 0.5000  4 Sn 3.01, 8 Ag 3.02
Ag: 0.5000 0.5000 0.7574  8 Ag 3.00-3.01, 4 Sn 3.01
Ag: 0.5000 0.0000 0.1156  2 Zn 2.87, 8 Ag 2.87-3.01, 2 Sn 3.01
Ag: 0.5000 0.0000 0.3711  4 Sn 3.00-3.02, 8 Ag 3.01-3.02
Ag: 0.5000 0.0000 0.6289  4 Sn 3.00-3.02, 8 Ag 3.01-3.02
Ag: 0.5000 0.0000 0.8844  2 Zn 2.87, 8 Ag 2.87-3.01, 2 Sn 3.01
Ag: 0.0000 0.5000 0.1156  8 Ag 2.87-3.01, 2 Zn 2.87, 2 Sn 3.01
Ag: 0.0000 0.5000 0.3711  4 Sn 3.00-3.02, 8 Ag 3.01-3.02
Ag: 0.0000 0.5000 0.6289  4 Sn 3.00-3.02, 8 Ag 3.01-3.02
Ag: 0.0000 0.5000 0.8844  8 Ag 2.87-3.01, 2 Zn 2.87, 2 Sn 3.01
Sn: 0.0000 0.0000 0.2436  12 Ag 3.00-3.01
Sn: 0.0000 0.0000 0.5000  12 Ag 3.01-3.02
Sn: 0.0000 0.0000 0.7564  12 Ag 3.00-3.01

## Properties
Total energy ... -2.96 eV/atom
DOS at the Fermi energy ... 4.4 states/eV/cell
Calculated formation energy ... 0.0100 eV per atom

***

First-principles (PBE) data for an optimized crystal structure of ZnAg14Sn, as listed in Alexandria.

a = 5.8170 Å, b = 5.8170 Å, c = 9.5737 Å
α = 90.00°, β = 90.00°, γ = 116.64°
Closest atoms and distances in Å follow each position.
Positions (direct):
Zn: 0.5500 0.4500 0.5000  10 Ag 2.90-2.96, 2 Sn 3.06
Ag: 0.1979 0.8021 0.0000  12 Ag 2.90-3.06
Ag: 0.7008 0.2992 0.0000  12 Ag 2.91-3.06
Ag: 0.0485 0.4450 0.5000  2 Sn 2.90-2.92, 2 Zn 2.90-2.91, 8 Ag 2.93-3.09
Ag: 0.2029 0.3034 0.0000  12 Ag 2.90-3.09
Ag: 0.5550 0.9515 0.5000  2 Sn 2.90-2.92, 2 Zn 2.90-2.91, 8 Ag 2.93-3.09
Ag: 0.6966 0.7971 0.0000  12 Ag 2.90-3.09
Ag: 0.3811 0.1328 0.7504  10 Ag 2.89-3.14, 1 Zn 2.91, 1 Sn 2.95
Ag: 0.3811 0.1328 0.2496  10 Ag 2.89-3.14, 1 Zn 2.91, 1 Sn 2.95
Ag: 0.8672 0.6189 0.7504  10 Ag 2.89-3.14, 1 Zn 2.91, 1 Sn 2.95
Ag: 0.8672 0.6189 0.2496  10 Ag 2.89-3.14, 1 Zn 2.91, 1 Sn 2.95
Ag: 0.3735 0.6265 0.7492  11 Ag 2.89-3.06, 1 Zn 2.96
Ag: 0.3735 0.6265 0.2508  11 Ag 2.89-3.06, 1 Zn 2.96
Ag: 0.8752 0.1248 0.7553  11 Ag 2.90-3.06, 1 Sn 3.02
Ag: 0.8752 0.1248 0.2447  11 Ag 2.90-3.06, 1 Sn 3.02
Sn: 0.0543 0.9457 0.5000  10 Ag 2.90-3.02, 2 Zn 3.06

## Properties
Total energy ... -2.79 eV/atom
DOS at the Fermi energy ... 5.2 states/eV/cell
Calculated formation energy ... 0.0299 eV per atom

***

Which value of DOS at the Fermi energy does entry 3 give?
2.5 states/eV/cell

***

calculated formation energy of number 6 (Zn6Ag6Sn)?
-0.0071 eV per atom

***

The lowest total energy belongs to which entry?
ZnAg12Sn3